[1]
A plane-wave DFT calculation with meta-GGA SCAN was carried out for KH5O3 at its PBEsol-relaxed geometry. Values from VASP.

Output
magnetization	0.00	μB/f.u.
electronic total energy	-6.16	eV/atom
space-group type	C2

Cell and atoms, written as Quantum ESPRESSO input:
```
&SYSTEM
  ibrav = 0, nat = 36, ntyp = 3
/
ATOMIC_SPECIES
K 39.10 K.upf
H 1.01 H.upf
O 16.00 O.upf
ATOMIC_POSITIONS angstrom
K 2.464 2.509 1.640
K -0.019 0.000 1.717
K 2.528 2.509 5.081
K 5.011 0.000 5.004
H -0.214 1.969 3.931
H -1.862 0.270 3.935
H -0.338 2.051 6.024
H -1.932 0.452 6.045
H -0.114 0.235 5.047
H 2.713 -0.543 0.572
H 5.331 2.051 0.697
H 2.855 -0.439 2.663
H 5.206 1.969 2.791
H 0.549 -2.045 4.034
H 2.137 -0.439 4.058
H 5.106 0.235 1.674
H 2.619 -2.264 1.706
H 6.924 0.452 0.677
H 4.361 -2.239 0.576
H 2.279 -0.543 6.150
H 0.631 -2.239 6.145
H 2.373 -2.264 5.015
H 4.443 -2.045 2.687
H 6.854 0.270 2.786
O 0.212 2.663 3.315
O 2.496 4.710 3.361
O -0.803 0.924 4.965
O -2.665 0.143 6.674
O 4.968 2.702 0.000
O 4.780 2.663 3.406
O 2.496 0.212 3.361
O 3.310 -1.577 1.610
O 5.795 0.924 1.757
O 1.682 -1.577 5.111
O 7.657 0.143 0.047
O 4.968 -2.810 0.000
CELL_PARAMETERS angstrom
4.968 -5.011 0.000
4.968 5.011 0.000
-4.945 0.000 6.721
```

***

[2]
A plane-wave DFT calculation with meta-GGA SCAN was carried out for MnAl2Pb at its PBEsol-relaxed geometry. Values from VASP.

Output
formation energy from the elements	103	meV per atom
magnetization	3.38	μB/f.u.
electronic total energy	-27.28	eV/atom
space-group type	P4mm

Cell and atoms, written as Quantum ESPRESSO input:
```
&SYSTEM
  ibrav = 0, nat = 4, ntyp = 3
/
ATOMIC_SPECIES
Mn 54.94 Mn.upf
Al 26.98 Al.upf
Pb 207.20 Pb.upf
ATOMIC_POSITIONS angstrom
Mn 0.000 0.000 0.000
Al 0.000 0.000 4.857
Al 1.486 1.486 6.783
Pb 1.486 1.486 2.129
CELL_PARAMETERS angstrom
2.972 0.000 0.000
0.000 2.972 0.000
0.000 0.000 8.282
```

***

[3]
A plane-wave DFT calculation with meta-GGA SCAN was carried out for P2PbW at its PBEsol-relaxed geometry. Values from VASP.

Output
formation energy from the elements	99	meV per atom
magnetization	0.00	μB/f.u.
electronic total energy	-41.47	eV/atom
space-group type	Cm

Cell and atoms, written as Quantum ESPRESSO input:
```
&SYSTEM
  ibrav = 0, nat = 4, ntyp = 3
/
ATOMIC_SPECIES
P 30.97 P.upf
Pb 207.20 Pb.upf
W 183.84 W.upf
ATOMIC_POSITIONS angstrom
P 0.000 0.000 0.000
P 0.033 0.000 4.077
Pb 2.151 0.000 2.301
W 4.105 0.000 5.812
CELL_PARAMETERS angstrom
4.134 -1.625 0.000
4.134 1.625 0.000
-1.775 0.000 6.038
```

***

[4]
A plane-wave DFT calculation with meta-GGA SCAN was carried out for YVO4 at its PBEsol-relaxed geometry. Values from VASP.

Output
magnetization	0.00	μB/f.u.
electronic total energy	-15.04	eV/atom
space-group type	I4_1/amd
uncorrected formation energy	-3328.7	meV per atom

Cell and atoms, written as Quantum ESPRESSO input:
```
&SYSTEM
  ibrav = 0, nat = 12, ntyp = 3
/
ATOMIC_SPECIES
Y 88.91 Y.upf
V 50.94 V.upf
O 16.00 O.upf
ATOMIC_POSITIONS angstrom
Y 3.553 1.777 0.780
Y 0.000 1.777 2.341
V 3.553 -1.777 2.341
V 0.000 5.330 0.780
O 3.553 -0.462 1.249
O 3.553 3.091 -1.249
O 1.315 1.777 0.312
O 2.239 -1.777 3.434
O 1.315 5.330 -0.312
O 2.239 1.777 2.809
O 0.000 0.462 4.370
O 0.000 4.015 1.873
CELL_PARAMETERS angstrom
-3.553 3.553 3.122
3.553 -3.553 3.122
3.553 3.553 -3.122
```

***

[5]
A plane-wave DFT calculation with meta-GGA SCAN was carried out for KCd2Cu at its PBEsol-relaxed geometry. Values from VASP.

Output
formation energy from the elements	259	meV per atom
magnetization	0.00	μB/f.u.
electronic total energy	-20.83	eV/atom
space-group type	Imm2
excess energy over the best structure of this formula in the dataset	231	meV/atom

Cell and atoms, written as Quantum ESPRESSO input:
```
&SYSTEM
  ibrav = 0, nat = 4, ntyp = 3
/
ATOMIC_SPECIES
K 39.10 K.upf
Cd 112.41 Cd.upf
Cu 63.55 Cu.upf
ATOMIC_POSITIONS angstrom
K 0.000 0.000 0.000
Cd 0.000 0.000 3.401
Cd 0.000 2.836 1.474
Cu 2.414 0.000 2.372
CELL_PARAMETERS angstrom
-2.414 2.836 3.669
2.414 -2.836 3.669
2.414 2.836 -3.669
```

***

[6]
A plane-wave DFT calculation with meta-GGA SCAN was carried out for Tl3FeF6 at its PBEsol-relaxed geometry. Values from VASP.

Output
magnetization	1.00	μB/f.u.
electronic total energy	-27.65	eV/atom
space-group type	Fm-3m
uncorrected formation energy	-2002.7	meV per atom

Cell and atoms, written as Quantum ESPRESSO input:
```
&SYSTEM
  ibrav = 0, nat = 10, ntyp = 3
/
ATOMIC_SPECIES
Tl 204.38 Tl.upf
Fe 55.84 Fe.upf
F 19.00 F.upf
ATOMIC_POSITIONS angstrom
Tl 0.000 0.000 0.000
Tl 2.199 2.199 2.199
Tl 6.597 6.597 6.597
Fe 4.398 4.398 4.398
F 4.398 4.398 2.543
F 4.398 2.543 4.398
F 6.253 4.398 4.398
F 2.543 4.398 4.398
F 4.398 6.253 4.398
F 4.398 4.398 6.253
CELL_PARAMETERS angstrom
0.000 4.398 4.398
4.398 0.000 4.398
4.398 4.398 0.000
```